[1]
Entry from Alexandria: GaFePt3 after structural relaxation (PBE).

Properties
Energy above the most stable polymorph in this dataset (meV per atom): 1271

a b c (Å): 4.582 4.582 4.582
angles (deg): 90.00 90.00 90.00
Space group Pm-3m (No. 221)
Asymmetric unit:
Ga1 0.000 0.000 0.000
Fe1 0.500 0.500 0.500
Pt1 0.000 0.500 0.500


[2]
Entry from Alexandria: GaFe2Pt9 after structural relaxation (PBE).

a b c (Å): 3.930 3.930 11.758
angles (deg): 90.00 90.00 90.00
Space group P4/mmm (No. 123)
Asymmetric unit:
Ga1 0.000 0.000 0.000
Fe1 0.000 0.000 0.333
Pt1 0.000 0.500 0.170
Pt2 0.000 0.500 0.500
Pt3 0.500 0.500 0.000
Pt4 0.500 0.500 0.335


[3]
Entry from Alexandria: Ga3FePt12 after structural relaxation (PBE).

a b c (Å): 3.944 3.944 15.710
angles (deg): 90.00 90.00 90.00
Space group P4/mmm (No. 123)
Asymmetric unit:
Ga1 0.000 0.000 0.000
Ga2 0.000 0.000 0.250
Fe1 0.000 0.000 0.500
Pt1 0.000 0.500 0.126
Pt2 0.000 0.500 0.378
Pt3 0.500 0.500 0.000
Pt4 0.500 0.500 0.251
Pt5 0.500 0.500 0.500


Computed formation energy, in the same sequence as the records: 0.89; -0.29; -0.39 eV per atom.